# 1
VASP calculation (GGA-PBE) on a geometry-optimized Y4Be3 structure.

Unit cell a=5.285 b=5.285 c=6.203 alpha=90.00 beta=90.00 gamma=120.00
Fractional positions:
Y  0.000  0.000  0.232
Y  0.000  0.000  0.768
Y  0.333  0.667  0.500
Y  0.667  0.333  0.500
Be  0.000  0.500  0.000
Be  0.500  0.000  0.000
Be  0.500  0.500  0.000

Fermi-level density of states ... 1.01 states/eV per atom
SG ... No. 191
Offset from the most stable computed form ... 0.0719 eV/atom
Energy of formation ... 0.310 eV/atom



# 2
VASP calculation (GGA-PBE) on a geometry-optimized YBe structure.

Unit cell a=6.848 b=6.848 c=6.848 alpha=109.47 beta=109.47 gamma=109.47
Fractional positions:
Y  0.000  0.000  0.415
Y  0.000  0.415  0.000
Y  0.415  0.000  0.000
Y  0.585  0.585  0.585
Be  0.000  0.000  0.810
Be  0.000  0.810  0.000
Be  0.190  0.190  0.190
Be  0.810  0.000  0.000

Fermi-level density of states ... 0.83 states/eV per atom
SG ... No. 217
Offset from the most stable computed form ... 0.7183 eV/atom
Energy of formation ... 0.760 eV/atom



# 3
VASP calculation (GGA-PBE) on a geometry-optimized Y3Be4 structure.

Unit cell a=6.496 b=6.496 c=4.226 alpha=90.00 beta=90.00 gamma=120.00
Fractional positions:
Y  0.000  0.500  0.000
Y  0.500  0.000  0.000
Y  0.500  0.500  0.000
Be  0.000  0.000  0.245
Be  0.000  0.000  0.755
Be  0.333  0.667  0.500
Be  0.667  0.333  0.500

Fermi-level density of states ... 0.70 states/eV per atom
SG ... No. 191
Offset from the most stable computed form ... 0.4129 eV/atom
Energy of formation ... 0.702 eV/atom



# 4
VASP calculation (GGA-PBE) on a geometry-optimized YBe structure.

Unit cell a=7.815 b=7.815 c=4.650 alpha=90.00 beta=90.00 gamma=120.00
Fractional positions:
Y  0.183  0.367  0.250
Y  0.183  0.817  0.250
Y  0.367  0.183  0.750
Y  0.633  0.817  0.250
Y  0.817  0.183  0.750
Y  0.817  0.633  0.750
Be  0.151  0.575  0.750
Be  0.425  0.575  0.750
Be  0.425  0.849  0.750
Be  0.575  0.151  0.250
Be  0.575  0.425  0.250
Be  0.849  0.425  0.250

Fermi-level density of states ... 0.87 states/eV per atom
SG ... No. 194
Offset from the most stable computed form ... 0.0105 eV/atom
Energy of formation ... 0.052 eV/atom